A plane-wave DFT calculation with PBE-GGA was carried out for crystalline LiPr2 at its relaxed geometry.

Computed properties:
Excess energy over the best structure of this formula in the dataset (eV per atom): 1.3329

abc: 12.104 12.104 12.104
angles: 90.00 90.00 90.00
Space group Fd-3m (No. 227, origin choice 2)
Inequivalent atoms, fractional coordinates:
1 Li 0.125 0.125 0.125
2 Pr 0.000 0.000 0.000

---

A plane-wave DFT calculation with PBE-GGA was carried out for crystalline LiPr2 at its relaxed geometry.

Computed properties:
Excess energy over the best structure of this formula in the dataset (eV per atom): 0.0020

abc: 7.312 7.312 7.312
angles: 90.00 90.00 90.00
Space group Fm-3m (No. 225)
Inequivalent atoms, fractional coordinates:
1 Li 0.000 0.000 0.000
2 Pr 0.250 0.250 0.250

---

A plane-wave DFT calculation with PBE-GGA was carried out for crystalline LiPr2 at its relaxed geometry.

Computed properties:
Excess energy over the best structure of this formula in the dataset (eV per atom): 0.0000

abc: 9.488 9.488 9.488
angles: 90.00 90.00 90.00
Space group Fd-3m (No. 227, origin choice 2)
Inequivalent atoms, fractional coordinates:
1 Li 0.125 0.125 0.125
2 Pr 0.000 0.000 0.500

---

A plane-wave DFT calculation with PBE-GGA was carried out for crystalline Li4PrPt2 at its relaxed geometry.

Computed properties:
E (eV/atom): -4.0892

abc: 7.630 7.630 4.186
angles: 90.00 90.00 90.00
Space group P4_2/mnm (No. 136)
Inequivalent atoms, fractional coordinates:
1 Li 0.098 0.349 0.000
2 Pr 0.000 0.000 0.500
3 Pt 0.211 0.789 0.000

---

A plane-wave DFT calculation with PBE-GGA was carried out for crystalline LiPr3Pt8 at its relaxed geometry.

Computed properties:
E (eV/atom): -6.3383

abc: 5.4863 5.4863 26.8675
angles: 90.00 90.00 120.00
Space group R3m (No. 160, hexagonal axes)
Inequivalent atoms, fractional coordinates:
1 Li 0.0000 0.0000 0.0000
2 Pr 0.0000 0.0000 0.3590
3 Pr 0.0000 0.0000 0.4877
4 Pr 0.0000 0.0000 0.8744
5 Pt 0.0000 0.0000 0.1773
6 Pt 0.0000 0.0000 0.6769
7 Pt 0.0001 0.5001 0.4270
8 Pt 0.1679 0.3358 0.2610

---

A plane-wave DFT calculation with PBE-GGA was carried out for crystalline LiPrSnPt at its relaxed geometry.

Computed properties:
E (eV/atom): -5.0332

abc: 6.906 6.906 6.906
angles: 90.00 90.00 90.00
Space group F-43m (No. 216)
Inequivalent atoms, fractional coordinates:
1 Li 0.000 0.000 0.000
2 Pr 0.250 0.250 0.250
3 Sn 0.250 0.250 0.750
4 Pt 0.000 0.000 0.500

---

A plane-wave DFT calculation with PBE-GGA was carried out for crystalline LiPrRe at its relaxed geometry.

Computed properties:
E (eV/atom): -5.3294

abc: 6.318 6.318 6.318
angles: 90.00 90.00 90.00
Space group F-43m (No. 216)
Inequivalent atoms, fractional coordinates:
1 Li 0.000 0.000 0.000
2 Pr 0.250 0.250 0.750
3 Re 0.250 0.250 0.250

---

A plane-wave DFT calculation with PBE-GGA was carried out for crystalline LiPrZnS3 at its relaxed geometry.

Computed properties:
Excess energy over the best structure of this formula in the dataset (eV per atom): 0.0000

abc: 11.590 3.991 11.195
angles: 90.00 90.00 90.00
Space group Pnma (No. 62)
Inequivalent atoms, fractional coordinates:
1 Li 0.114 0.250 0.017
2 Pr 0.033 0.250 0.680
3 Zn 0.240 0.250 0.292
4 S 0.071 0.750 0.867
5 S 0.098 0.250 0.432
6 S 0.212 0.750 0.175

---

Question: Number 3 is which compound?
Answer: LiPr2

---

Question: What is the formula in the fifth record?
Answer: LiPr3Pt8

---

Copy entry 8 word for word.
A plane-wave DFT calculation with PBE-GGA was carried out for crystalline LiPrZnS3 at its relaxed geometry.

Computed properties:
Excess energy over the best structure of this formula in the dataset (eV per atom): 0.0000

abc: 11.590 3.991 11.195
angles: 90.00 90.00 90.00
Space group Pnma (No. 62)
Inequivalent atoms, fractional coordinates:
1 Li 0.114 0.250 0.017
2 Pr 0.033 0.250 0.680
3 Zn 0.240 0.250 0.292
4 S 0.071 0.750 0.867
5 S 0.098 0.250 0.432
6 S 0.212 0.750 0.175